Entry 1:
VASP calculation (meta-GGA SCAN) on a PBEsol-optimized structure of P2OsI2.

Properties
DFT total energy: -32.14 eV per atom

a = 3.284 Å, b = 3.284 Å, c = 19.794 Å
α = 90.00°, β = 90.00°, γ = 90.00°
Space group I4/mmm (No. 139)
Asymmetric unit:
1 P 0.000 0.500 0.250 [4 per cell]
2 Os 0.000 0.000 0.000 [2 per cell]
3 I 0.000 0.000 0.415 [4 per cell]


Entry 2:
VASP calculation (meta-GGA SCAN) on a PBEsol-optimized structure of KSN2O.

Properties
DFT total energy: -7.10 eV per atom

a = 5.115 Å, b = 5.115 Å, c = 3.445 Å
α = 90.00°, β = 90.00°, γ = 90.00°
Space group P4/mmm (No. 123)
Asymmetric unit:
1 K 0.000 0.000 0.000 [1 per cell]
2 S 0.500 0.500 0.000 [1 per cell]
3 N 0.000 0.500 0.500 [2 per cell]
4 O 0.500 0.500 0.500 [1 per cell]


Entry 3:
VASP calculation (meta-GGA SCAN) on a PBEsol-optimized structure of Sc2ZnPd2.

Properties
ΔE_f: -2.40 eV per formula unit
DFT total energy: -21.99 eV per atom

a = 3.712 Å, b = 3.712 Å, c = 13.727 Å
α = 90.00°, β = 90.00°, γ = 90.00°
Space group I4/mmm (No. 139)
Asymmetric unit:
1 Sc 0.000 0.000 0.110 [4 per cell]
2 Zn 0.000 0.000 0.500 [2 per cell]
3 Pd 0.000 0.500 0.250 [4 per cell]


Entry 4:
VASP calculation (meta-GGA SCAN) on a PBEsol-optimized structure of TbAl.

Properties
ΔE_f: -0.90 eV per formula unit
DFT total energy: -27.71 eV per atom

a = 5.786 Å, b = 11.358 Å, c = 5.554 Å
α = 90.00°, β = 90.00°, γ = 90.00°
Space group Pbcm (No. 57)
Asymmetric unit:
1 Tb 0.096 0.168 0.250 [4 per cell]
2 Tb 0.338 0.014 0.750 [4 per cell]
3 Al 0.161 0.598 0.750 [4 per cell]
4 Al 0.432 0.750 0.000 [4 per cell]


Entry 5:
VASP calculation (meta-GGA SCAN) on a PBEsol-optimized structure of AgRuRh2.

Properties
ΔE_f: 1.47 eV per formula unit
polymorph energy (0 for the lowest one): 0.239 eV/atom
DFT total energy: -33.07 eV per atom

a = 3.795 Å, b = 3.795 Å, c = 7.814 Å
α = 90.00°, β = 90.00°, γ = 90.00°
Space group I-4m2 (No. 119)
Asymmetric unit:
1 Ag 0.000 0.000 0.000 [2 per cell]
2 Ru 0.000 0.500 0.750 [2 per cell]
3 Rh 0.000 0.000 0.500 [2 per cell]
4 Rh 0.000 0.500 0.250 [2 per cell]


Entry 6:
VASP calculation (meta-GGA SCAN) on a PBEsol-optimized structure of MgTi4P6O24.

Properties
DFT total energy: -10.88 eV per atom

a = 8.5872 Å, b = 8.5872 Å, c = 20.6010 Å
α = 90.00°, β = 90.00°, γ = 120.00°
Space group R-3 (No. 148, hexagonal axes)
Asymmetric unit:
1 Mg 0.0000 0.0000 0.0000 [3 per cell]
2 Ti 0.0000 0.0000 0.1459 [6 per cell]
3 Ti 0.0000 0.0000 0.3687 [6 per cell]
4 P 0.0083 0.7159 0.7461 [18 per cell]
5 O 0.0091 0.8192 0.6863 [18 per cell]
6 O 0.0129 0.8209 0.8082 [18 per cell]
7 O 0.0213 0.8253 0.4191 [18 per cell]
8 O 0.0280 0.1837 0.9241 [18 per cell]


Entry 7:
VASP calculation (meta-GGA SCAN) on a PBEsol-optimized structure of RbBaY3.

Properties
ΔE_f: 4.71 eV per formula unit
DFT total energy: -27.82 eV per atom

a = 5.938 Å, b = 5.938 Å, c = 5.938 Å
α = 90.00°, β = 90.00°, γ = 90.00°
Space group Pm-3m (No. 221)
Asymmetric unit:
1 Rb 0.000 0.000 0.000 [1 per cell]
2 Ba 0.500 0.500 0.500 [1 per cell]
3 Y 0.000 0.500 0.500 [3 per cell]


Entry 8:
VASP calculation (meta-GGA SCAN) on a PBEsol-optimized structure of LiTl2Ag.

Properties
ΔE_f: -0.22 eV per formula unit
polymorph energy (0 for the lowest one): 0.032 eV/atom
DFT total energy: -44.67 eV per atom

a = 4.319 Å, b = 4.319 Å, c = 9.092 Å
α = 90.00°, β = 90.00°, γ = 90.00°
Space group I-4m2 (No. 119)
Asymmetric unit:
1 Li 0.000 0.000 0.000 [2 per cell]
2 Tl 0.000 0.000 0.500 [2 per cell]
3 Tl 0.000 0.500 0.250 [2 per cell]
4 Ag 0.000 0.500 0.750 [2 per cell]


Entry 9:
VASP calculation (meta-GGA SCAN) on a PBEsol-optimized structure of LiAlNi2.

Properties
ΔE_f: -1.29 eV per formula unit
DFT total energy: -10.94 eV per atom

a = 8.850 Å, b = 2.632 Å, c = 4.158 Å
α = 90.00°, β = 109.05°, γ = 90.00°
Space group Cm (No. 8)
Asymmetric unit:
1 Li 0.000 0.000 0.000 [2 per cell]
2 Al 0.226 0.000 0.638 [2 per cell]
3 Ni 0.251 0.500 0.152 [2 per cell]
4 Ni 0.483 0.000 0.492 [2 per cell]


Entry 10:
VASP calculation (meta-GGA SCAN) on a PBEsol-optimized structure of Mn2OsBr.

Properties
polymorph energy (0 for the lowest one): 0.000 eV/atom
DFT total energy: -31.83 eV per atom

a = 3.0218 Å, b = 3.0218 Å, c = 23.6220 Å
α = 90.00°, β = 90.00°, γ = 120.00°
Space group R-3m (No. 166, hexagonal axes)
Asymmetric unit:
1 Mn 0.0000 0.0000 0.2467 [6 per cell]
2 Os 0.0000 0.0000 0.5000 [3 per cell]
3 Br 0.0000 0.0000 0.0000 [3 per cell]


Entry 11:
VASP calculation (meta-GGA SCAN) on a PBEsol-optimized structure of Ba3BiRh.

Properties
ΔE_f: -2.81 eV per formula unit
DFT total energy: -46.76 eV per atom

a = 5.793 Å, b = 5.793 Å, c = 5.793 Å
α = 90.00°, β = 90.00°, γ = 90.00°
Space group Pm-3m (No. 221)
Asymmetric unit:
1 Ba 0.000 0.000 0.500 [3 per cell]
2 Bi 0.500 0.500 0.500 [1 per cell]
3 Rh 0.000 0.000 0.000 [1 per cell]


Entry 12:
VASP calculation (meta-GGA SCAN) on a PBEsol-optimized structure of BaB2F8.

Properties
DFT total energy: -10.95 eV per atom

a = 12.525 Å, b = 5.007 Å, c = 4.758 Å
α = 90.00°, β = 111.97°, γ = 90.00°
Space group C2/m (No. 12)
Asymmetric unit:
1 Ba 0.000 0.000 0.000 [2 per cell]
2 B 0.151 0.500 0.711 [4 per cell]
3 F 0.100 0.500 0.933 [4 per cell]
4 F 0.114 0.269 0.533 [8 per cell]
5 F 0.229 0.000 0.148 [4 per cell]